1.
The following is a GGA-PBE calculation of a relaxed structure of Ac6HPb2N, from Alexandria.

Summary:
The value obtained for the density of states at the Fermi level is 10.18 states/eV/f.u. The value obtained for the total moment is 0.007 μB/f.u. The value obtained for the electronic total energy is -4.8747 eV per atom.

a = 7.599 Å, b = 7.599 Å, c = 7.599 Å
α = 120.06°, β = 120.06°, γ = 89.90°
Fractional coordinates of all 10 atoms:
Ac (0.245, 0.245, 0.000)
Ac (0.245, 0.245, 0.490)
Ac (0.245, 0.755, 0.000)
Ac (0.755, 0.245, 0.000)
Ac (0.755, 0.755, 0.000)
Ac (0.755, 0.755, 0.510)
H (0.500, 0.500, 0.000)
Pb (0.250, 0.750, 0.500)
Pb (0.750, 0.250, 0.500)
N (0.000, 0.000, 0.000)

***

2.
The following is a GGA-PBE calculation of a relaxed structure of La12DyEr7, from Alexandria.

Summary:
The calculation puts the formation energy from the elements at 196 meV/atom. The value obtained for the density of states at the Fermi level is 34.80 states/eV/f.u. The value obtained for the total moment is 0.000 μB/f.u. The value obtained for the electronic total energy is -4.5880 eV per atom.

a = 8.846 Å, b = 8.846 Å, c = 8.846 Å
α = 89.49°, β = 89.49°, γ = 89.49°
Fractional coordinates of all 20 atoms:
La (0.019, 0.356, 0.892)
La (0.108, 0.981, 0.644)
La (0.218, 0.765, 0.353)
La (0.235, 0.647, 0.782)
La (0.353, 0.218, 0.765)
La (0.356, 0.892, 0.019)
La (0.644, 0.108, 0.981)
La (0.647, 0.782, 0.235)
La (0.765, 0.353, 0.218)
La (0.782, 0.235, 0.647)
La (0.892, 0.019, 0.356)
La (0.981, 0.644, 0.108)
Dy (0.500, 0.500, 0.500)
Er (0.000, 0.000, 0.000)
Er (0.125, 0.360, 0.440)
Er (0.360, 0.440, 0.125)
Er (0.440, 0.125, 0.360)
Er (0.560, 0.875, 0.640)
Er (0.640, 0.560, 0.875)
Er (0.875, 0.640, 0.560)

***

3.
The following is a GGA-PBE calculation of a relaxed structure of Ac6Se5, from Alexandria.

Summary:
The value obtained for the density of states at the Fermi level is 6.95 states/eV/f.u. The value obtained for the total moment is 0.000 μB/f.u. The value obtained for the electronic total energy is -5.4791 eV per atom.

a = 7.691 Å, b = 7.691 Å, c = 7.700 Å
α = 99.65°, β = 99.65°, γ = 119.71°
Fractional coordinates of all 11 atoms:
Ac (0.082, 0.413, 0.748)
Ac (0.247, 0.247, 0.247)
Ac (0.413, 0.082, 0.748)
Ac (0.587, 0.918, 0.252)
Ac (0.753, 0.753, 0.753)
Ac (0.918, 0.587, 0.252)
Se (0.170, 0.830, 0.000)
Se (0.335, 0.665, 0.500)
Se (0.500, 0.500, 0.000)
Se (0.665, 0.335, 0.500)
Se (0.830, 0.170, 0.000)